(1)
5
Lattice="-4.2813 -0.4832 -2.0995 -1.5223 -0.6606 3.2563 -0.8100 4.6890 0.5726" Properties=species:S:1:pos:R:3 comment="Zr2BeCrS, optimized geometry, DFT PBE" spacegroup="No. 123" dft_energy_ev_per_atom=-6.386 pbc="T T T"
Cr -3.3068 1.7726 0.8648
S -0.7611 -0.3303 1.6282
Zr -0.4050 2.3445 0.2863
Zr -2.1407 -0.2416 -1.0497
Be 0.0000 0.0000 0.0000

=====

(2)
10
Lattice="-6.5287 4.3722 4.6640 -6.3276 -5.3696 -3.8238 0.3301 -2.1602 2.4872" Properties=species:S:1:pos:R:3 comment="CsSn2Au2, optimized geometry, DFT PBE" relative_energy_mev_per_atom=256 spacegroup="No. 127" ef_mev_per_atom=-51 pbc="T T T"
Cs 0.0000 0.0000 0.0000
Cs -6.4282 -0.4987 0.4201
Au -7.8256 -3.0465 -1.6073
Au -9.6649 0.3489 1.5859
Au -5.0308 2.0491 2.4474
Au -3.1914 -1.3463 -0.7457
Sn -4.7854 -3.9035 -0.5516
Sn -9.4549 -2.9097 0.9313
Sn -7.7408 0.7460 3.8789
Sn -3.0714 -0.2478 2.3960

=====

(3)
26
Lattice="-0.7718 2.2643 -2.5862 -10.4519 -4.6159 -0.9223 -6.8922 12.9325 13.3797" Properties=species:S:1:pos:R:3 comment="Ho2Er6Tm5, optimized geometry, DFT PBE" spacegroup="No. 55" ef_mev_per_atom=102 pbc="T T T"
Ho -5.4988 2.2006 3.5677
Ho -11.8453 6.1160 8.8897
Ho -10.1769 -1.1354 2.0429
Ho -7.1672 9.4520 10.4144
Er -3.4225 4.3775 4.8540
Er -13.9215 3.9392 7.6034
Er -7.0136 -0.9982 1.2190
Er -10.3305 9.3148 11.2383
Er -4.7361 1.3518 0.1974
Er -13.3798 9.2292 9.6738
Er -11.5610 2.0442 2.8403
Er -6.5549 8.5367 7.0308
Er -8.7242 2.8410 5.0909
Er -8.6199 5.4757 7.3665
Er -1.1689 0.7781 1.0301
Er -16.1752 7.5385 11.4273
Tm -6.6420 5.5623 4.4526
Tm -11.4738 5.0186 5.4185
Tm -9.1079 -1.9247 -1.3666
Tm -9.0080 12.5056 11.2378
Tm -8.4558 1.9350 1.8180
Tm -9.6601 8.6460 8.0531
Tm -2.9083 3.6396 1.6550
Tm -15.2076 6.9413 8.2161
Tm -5.6118 -1.1758 -1.7543
Tm -3.8320 7.5984 5.3967

=====

(4)
20
Lattice="7.6947 0.0000 0.0000 0.0000 10.3987 0.0000 0.0000 0.0000 9.5097" Properties=species:S:1:pos:R:3 comment="Rb5SiS4, optimized geometry, DFT PBE" spacegroup="No. 59" dft_energy_ev_per_atom=-3.622 pbc="T T T"
Rb 5.6294 1.9477 2.4484
Rb 5.6294 1.9477 7.0613
Rb 1.1911 0.0000 4.7549
Rb 5.6294 8.4509 2.4484
Rb 5.6294 8.4509 7.0613
Rb 2.0653 7.1470 2.3064
Rb 2.0653 7.1470 7.2033
Rb 6.5036 5.1993 0.0000
Rb 2.0653 3.2516 7.2033
Rb 2.0653 3.2516 2.3064
Si 1.4512 0.0000 0.0000
Si 6.2435 5.1993 4.7549
S 0.1935 1.7762 0.0000
S 2.7041 0.0000 1.7771
S 2.7041 0.0000 7.7327
S 0.1935 8.6225 0.0000
S 7.5012 6.9755 4.7549
S 4.9906 5.1993 2.9778
S 4.9906 5.1993 6.5319
S 7.5012 3.4232 4.7549